Entry 1:
Y2Zn2Br: optimized geometry, GGA-PBE.

- Space-group type: No. 127
- N(E_F): 9.46 states/eV/cell
- ΔE_f (raw): -0.5053 eV/atom
- Magnetic moment: 0.00 μB/cell
- Crystal system: tetragonal
- E above lowest polymorph: 0.000 eV/atom

Cell: 7.631 7.631 4.397 Å, 90.00 90.00 90.00°
Positions (direct):
1 Y 0.165 0.335 0.000
2 Y 0.335 0.835 0.000
3 Y 0.665 0.165 0.000
4 Y 0.835 0.665 0.000
5 Zn 0.121 0.621 0.500
6 Zn 0.379 0.121 0.500
7 Zn 0.621 0.879 0.500
8 Zn 0.879 0.379 0.500
9 Br 0.000 0.000 0.000
10 Br 0.500 0.500 0.000

Entry 2:
CsAg2MoH: optimized geometry, GGA-PBE.

- Space-group type: No. 123
- N(E_F): 1.27 states/eV/cell
- Magnetic moment: 3.74 μB/cell
- Crystal system: tetragonal
- E_tot: -16.6 eV/f.u.

Cell: 5.793 5.793 3.795 Å, 90.00 90.00 90.00°
Positions (direct):
1 Cs 0.000 0.000 0.000
2 Ag 0.000 0.500 0.500
3 Ag 0.500 0.000 0.500
4 Mo 0.500 0.500 0.500
5 H 0.500 0.500 0.000

Entry 3:
La2RhBr: optimized geometry, GGA-PBE.

- Space-group type: No. 119
- N(E_F): 2.29 states/eV/cell
- ΔE_f (raw): -0.7546 eV/atom
- Magnetic moment: 0.00 μB/cell
- Crystal system: tetragonal
- E above lowest polymorph: 0.434 eV/atom

Cell: 6.650 6.650 6.650 Å, 143.51 143.51 52.55°
Positions (direct):
1 La 0.000 0.000 0.000
2 La 0.750 0.250 0.500
3 Rh 0.250 0.750 0.500
4 Br 0.500 0.500 0.000

Entry 4:
Rb3Ac2PuO6: optimized geometry, GGA-PBE.

- Space-group type: No. 12
- N(E_F): 7.65 states/eV/cell
- ΔE_f (raw): -2.4300 eV/atom
- Magnetic moment: 5.00 μB/cell
- Crystal system: monoclinic

Cell: 6.586 6.586 6.984 Å, 99.00 99.00 120.01°
Positions (direct):
1 Rb 0.000 0.000 0.000
2 Rb 0.337 0.663 0.000
3 Rb 0.663 0.337 0.000
4 Ac 0.167 0.833 0.500
5 Ac 0.833 0.167 0.500
6 Pu 0.500 0.500 0.500
7 O 0.123 0.440 0.318
8 O 0.244 0.244 0.682
9 O 0.440 0.123 0.318
10 O 0.560 0.877 0.682
11 O 0.756 0.756 0.318
12 O 0.877 0.560 0.682

Entry 5:
MnSn2Hg: optimized geometry, GGA-PBE.

- Space-group type: No. 225
- N(E_F): 2.88 states/eV/cell
- Magnetic moment: 4.13 μB/cell
- ΔH_f (0 K): 0.34 eV/atom
- Crystal system: cubic
- E above lowest polymorph: 0.177 eV/atom

Cell: 5.113 5.113 5.113 Å, 60.00 60.00 60.00°
Positions (direct):
1 Mn 0.000 0.000 0.000
2 Sn 0.250 0.250 0.250
3 Sn 0.750 0.750 0.750
4 Hg 0.500 0.500 0.500

Entry 6:
LiHfBe3: optimized geometry, GGA-PBE.

- Space-group type: No. 221
- N(E_F): 5.67 states/eV/cell
- Magnetic moment: 0.52 μB/cell
- ΔH_f (0 K): 1.56 eV/atom
- Crystal system: cubic
- E above lowest polymorph: 1.213 eV/atom

Cell: 4.883 4.883 4.883 Å, 90.00 90.00 90.00°
Positions (direct):
1 Li 0.000 0.000 0.000
2 Hf 0.500 0.500 0.500
3 Be 0.000 0.500 0.500
4 Be 0.500 0.000 0.500
5 Be 0.500 0.500 0.000

Entry 7:
TaTi2H3: optimized geometry, GGA-PBE.

- Space-group type: No. 44
- N(E_F): 4.07 states/eV/cell
- Magnetic moment: 0.00 μB/cell
- Crystal system: orthorhombic
- E_tot: -39.1 eV/f.u.

Cell: 5.267 5.267 5.267 Å, 147.02 62.47 128.57°
Positions (direct):
1 Ta 0.000 0.000 0.000
2 Ti 0.333 0.001 0.332
3 Ti 0.669 0.001 0.668
4 H 0.263 0.763 0.500
5 H 0.578 0.747 0.832
6 H 0.915 0.747 0.168

Entry 8:
Ba2TlAs: optimized geometry, GGA-PBE.

- Space-group type: No. 6
- N(E_F): 2.09 states/eV/cell
- Magnetic moment: 0.00 μB/cell
- ΔH_f (0 K): -0.69 eV/atom
- Crystal system: monoclinic
- E above lowest polymorph: 0.009 eV/atom

Cell: 5.097 4.708 6.732 Å, 90.00 112.21 90.00°
Positions (direct):
1 Ba 0.000 0.000 0.000
2 Ba 0.273 0.500 0.548
3 Tl 0.708 0.000 0.418
4 As 0.556 0.500 0.111

Entry 9:
ZnP2RhSe: optimized geometry, GGA-PBE.

- Space-group type: No. 123
- N(E_F): 7.12 states/eV/cell
- ΔE_f (raw): 1.2123 eV/atom
- Magnetic moment: 0.00 μB/cell
- Crystal system: tetragonal

Cell: 4.733 4.733 4.563 Å, 90.00 90.00 90.00°
Positions (direct):
1 Zn 0.000 0.000 0.000
2 P 0.000 0.500 0.500
3 P 0.500 0.000 0.500
4 Rh 0.500 0.500 0.000
5 Se 0.000 0.000 0.500

Entry 10:
TbEr4In2: optimized geometry, GGA-PBE.

- Space-group type: No. 2
- N(E_F): 8.32 states/eV/cell
- Magnetic moment: 0.00 μB/cell
- ΔH_f (0 K): -0.17 eV/atom
- Crystal system: triclinic
- E above lowest polymorph: 0.000 eV/atom

Cell: 6.330 6.368 6.411 Å, 104.99 97.53 119.67°
Positions (direct):
1 Tb 0.000 0.000 0.000
2 Er 0.010 0.747 0.430
3 Er 0.400 0.700 0.114
4 Er 0.600 0.300 0.886
5 Er 0.990 0.253 0.570
6 In 0.495 0.261 0.380
7 In 0.505 0.739 0.620

Entry 11:
Pr2Ga3Cu5: optimized geometry, GGA-PBE.

- Space-group type: No. 115
- N(E_F): 4.84 states/eV/cell
- Magnetic moment: 0.00 μB/cell
- ΔH_f (0 K): -0.30 eV/atom
- Crystal system: tetragonal
- E above lowest polymorph: 0.039 eV/atom

Cell: 4.254 4.254 10.019 Å, 90.00 90.00 90.00°
Positions (direct):
1 Pr 0.000 0.500 0.239
2 Pr 0.500 0.000 0.761
3 Ga 0.000 0.500 0.643
4 Ga 0.500 0.000 0.357
5 Ga 0.500 0.500 0.500
6 Cu 0.000 0.000 0.000
7 Cu 0.000 0.000 0.500
8 Cu 0.000 0.500 0.884
9 Cu 0.500 0.000 0.116
10 Cu 0.500 0.500 0.000

Entry 12:
SiSb2Ru: optimized geometry, GGA-PBE.

- Space-group type: No. 123
- N(E_F): 2.80 states/eV/cell
- ΔE_f (raw): 0.4914 eV/atom
- Magnetic moment: 0.00 μB/cell
- Crystal system: tetragonal

Cell: 4.931 4.931 3.163 Å, 90.00 90.00 90.00°
Positions (direct):
1 Si 0.000 0.000 0.000
2 Sb 0.000 0.500 0.500
3 Sb 0.500 0.000 0.500
4 Ru 0.500 0.500 0.000